[1]
DFT (PBE-GGA) results for a geometry-optimized Sc3In2Te6 structure.

Cell lengths 7.2518, 7.2518, 8.0962 Å; angles 98.66, 98.66, 119.96 degrees
With the nearest neighbours (Å) after each atom.
Fractional coordinates of all 11 atoms:
Sc (0.0000, 0.0000, 0.0000)  6 Te 2.92-2.95
Sc (0.3306, 0.6694, 0.0000)  6 Te 2.92-2.95
Sc (0.6694, 0.3306, 0.0000)  6 Te 2.92-2.95
In (0.1657, 0.8343, 0.5000)  6 Te 3.25-3.26
In (0.8343, 0.1657, 0.5000)  6 Te 3.25-3.26
Te (0.0722, 0.4068, 0.2189)  3 Sc 2.92-2.95, 2 In 3.25
Te (0.2603, 0.2603, 0.7863)  3 Sc 2.92-2.95, 2 In 3.26
Te (0.4068, 0.0722, 0.2189)  3 Sc 2.92-2.95, 2 In 3.25
Te (0.5932, 0.9278, 0.7811)  3 Sc 2.92-2.95, 2 In 3.25
Te (0.7397, 0.7397, 0.2137)  3 Sc 2.92-2.95, 2 In 3.26
Te (0.9278, 0.5932, 0.7811)  3 Sc 2.92-2.95, 2 In 3.25

Properties
Its uncorrected formation energy is -0.91 eV per atom. For the density, the calculation gives 5.33 g/cm³.

---

[2]
DFT (PBE-GGA) results for a geometry-optimized ScIn2Te6 structure.

Cell lengths 9.1690, 9.1690, 8.2904 Å; angles 101.85, 101.85, 87.02 degrees
With the nearest neighbours (Å) after each atom.
Fractional coordinates of all 18 atoms:
Sc (0.1006, 0.8994, 0.7500)  6 Te 2.86-2.98
Sc (0.8994, 0.1006, 0.2500)  6 Te 2.86-2.98
In (0.2246, 0.4043, 0.6849)  4 Te 2.80-2.91
In (0.4043, 0.2246, 0.1849)  4 Te 2.80-2.91
In (0.5957, 0.7754, 0.8151)  4 Te 2.80-2.91
In (0.7754, 0.5957, 0.3151)  4 Te 2.80-2.91
Te (0.0165, 0.1738, 0.6101)  1 In 2.81, 2 Sc 2.91-2.98
Te (0.0241, 0.6188, 0.8081)  1 In 2.80, 1 Sc 2.86
Te (0.1738, 0.0165, 0.1101)  1 In 2.81, 2 Sc 2.91-2.98
Te (0.3393, 0.4910, 0.4161)  2 In 2.90-2.91, 1 Te 2.99
Te (0.3812, 0.9759, 0.6919)  1 In 2.80, 1 Sc 2.86
Te (0.4910, 0.3393, 0.9161)  2 In 2.90-2.91, 1 Te 2.99
Te (0.5090, 0.6607, 0.0839)  2 In 2.90-2.91, 1 Te 2.99
Te (0.6188, 0.0241, 0.3081)  1 In 2.80, 1 Sc 2.86
Te (0.6607, 0.5090, 0.5839)  2 In 2.90-2.91, 1 Te 2.99
Te (0.8262, 0.9835, 0.8899)  1 In 2.81, 2 Sc 2.91-2.98
Te (0.9759, 0.3812, 0.1919)  1 In 2.80, 1 Sc 2.86
Te (0.9835, 0.8262, 0.3899)  1 In 2.81, 2 Sc 2.91-2.98

Properties
Its uncorrected formation energy is -0.39 eV per atom. For the density, the calculation gives 5.17 g/cm³.